# PBE-GGA Ca2TlCu2Pd5, relaxed
data_Ca2TlCu2Pd5
_cell_length_a 9.5731
_cell_length_b 9.5731
_cell_length_c 3.9488
_cell_angle_alpha 90.00
_cell_angle_beta 90.00
_cell_angle_gamma 90.00
_space_group_name_H-M_alt 'P 4/m b m'
_space_group_IT_number 127
_space_group_name_Hall '-P 4 2ab'
loop_
_atom_site_label
_atom_site_fract_x
_atom_site_fract_y
_atom_site_fract_z
_atom_site_occupancy
Ca1 0.1746 0.3254 0.0000 1
Tl1 0.0000 0.0000 0.0000 1
Cu1 0.1214 0.6214 0.0000 1
Pd1 0.0000 0.5000 0.5000 1
Pd2 0.0697 0.7896 0.5000 1
# Total moment (μB per atom): 0.00
# E_form (eV/atom): -0.4781